i | VASP calculation (PBE-GGA) on a relaxed structure of Li3AcGa2.

Calculated values
**Crystal system**: monoclinic
**Calculated volume**: 265 Å³ per cell

Lattice parameters (Å, degrees): 8.6330 8.6330 7.7288 114.00 114.00 30.51
Fractional positions:
Li (0.0357, 0.0357, 0.3705)
Li (0.3160, 0.3160, 0.5468)
Li (0.4104, 0.4104, 0.3464)
Li (0.5896, 0.5896, 0.6536)
Li (0.6840, 0.6840, 0.4532)
Li (0.9643, 0.9643, 0.6295)
Ac (0.1509, 0.1509, 0.0678)
Ac (0.8491, 0.8491, 0.9322)
Ga (0.1902, 0.1902, 0.6833)
Ga (0.4803, 0.4803, 0.8276)
Ga (0.5197, 0.5197, 0.1724)
Ga (0.8098, 0.8098, 0.3167)

ii | VASP calculation (PBE-GGA) on a relaxed structure of Li3AcGa2.

Calculated values
**Crystal system**: hexagonal
**Calculated volume**: 396 Å³ per cell

Lattice parameters (Å, degrees): 9.9851 9.9851 4.5880 90.00 90.00 120.00
Fractional positions:
Li (0.0000, 0.2906, 0.0000)
Li (0.0000, 0.5000, 0.5000)
Li (0.0000, 0.7094, 0.0000)
Li (0.2906, 0.0000, 0.0000)
Li (0.2906, 0.2906, 0.0000)
Li (0.5000, 0.0000, 0.5000)
Li (0.5000, 0.5000, 0.5000)
Li (0.7094, 0.0000, 0.0000)
Li (0.7094, 0.7094, 0.0000)
Ac (0.0000, 0.0000, 0.5000)
Ac (0.3333, 0.6667, 0.0000)
Ac (0.6667, 0.3333, 0.0000)
Ga (0.1886, 0.3772, 0.5000)
Ga (0.1886, 0.8114, 0.5000)
Ga (0.3772, 0.1886, 0.5000)
Ga (0.6228, 0.8114, 0.5000)
Ga (0.8114, 0.1886, 0.5000)
Ga (0.8114, 0.6228, 0.5000)

What should be chosen as the most stable of them? Choose i.

i | VASP calculation (PBE-GGA) on a relaxed structure of Li3AcGa3.

Calculated values
**Crystal system**: trigonal
**Calculated volume**: 285 Å³ per cell

Lattice parameters (Å, degrees): 7.5282 7.5282 7.5282 57.63 57.63 57.63
Fractional positions:
Li (0.1896, 0.1896, 0.5635)
Li (0.1896, 0.5635, 0.1896)
Li (0.4365, 0.8104, 0.8104)
Li (0.5635, 0.1896, 0.1896)
Li (0.8104, 0.4365, 0.8104)
Li (0.8104, 0.8104, 0.4365)
Ac (0.1306, 0.1306, 0.1306)
Ac (0.8694, 0.8694, 0.8694)
Ga (0.1856, 0.5635, 0.5635)
Ga (0.4365, 0.4365, 0.8144)
Ga (0.4365, 0.8144, 0.4365)
Ga (0.5635, 0.1856, 0.5635)
Ga (0.5635, 0.5635, 0.1856)
Ga (0.8144, 0.4365, 0.4365)

ii | VASP calculation (PBE-GGA) on a relaxed structure of Li3AcGa3.

Calculated values
**Crystal system**: monoclinic
**Calculated volume**: 358 Å³ per cell

Lattice parameters (Å, degrees): 10.1695 3.9834 10.1802 90.00 119.88 90.00
Fractional positions:
Li (0.0843, 0.2500, 0.2614)
Li (0.2393, 0.2500, 0.8245)
Li (0.3236, 0.7500, 0.5854)
Li (0.6764, 0.2500, 0.4146)
Li (0.7607, 0.7500, 0.1755)
Li (0.9157, 0.7500, 0.7386)
Ac (0.3334, 0.7500, 0.1673)
Ac (0.6666, 0.2500, 0.8327)
Ga (0.0469, 0.2500, 0.9512)
Ga (0.4041, 0.2500, 0.4534)
Ga (0.4512, 0.7500, 0.9045)
Ga (0.5488, 0.2500, 0.0955)
Ga (0.5959, 0.7500, 0.5466)
Ga (0.9531, 0.7500, 0.0488)

What should be chosen as the most stable of them? Choose i.

i | VASP calculation (PBE-GGA) on a relaxed structure of LiAcGaPd.

Calculated values
**Crystal system**: trigonal
**Calculated volume**: 92 Å³ per cell

Lattice parameters (Å, degrees): 5.8109 5.8109 5.8109 45.69 45.69 45.69
Fractional positions:
Li (0.0000, 0.0000, 0.0000)
Ac (0.1958, 0.1958, 0.1958)
Ga (0.7147, 0.7147, 0.7147)
Pd (0.3924, 0.3924, 0.3924)

ii | VASP calculation (PBE-GGA) on a relaxed structure of LiAcGaPd.

Calculated values
**Crystal system**: cubic
**Calculated volume**: 87 Å³ per cell

Lattice parameters (Å, degrees): 4.9664 4.9664 4.9664 60.00 60.00 60.00
Fractional positions:
Li (0.0000, 0.0000, 0.0000)
Ac (0.7500, 0.7500, 0.7500)
Ga (0.2500, 0.2500, 0.2500)
Pd (0.5000, 0.5000, 0.5000)

What should be chosen as the most stable of them? Choose i.

i | VASP calculation (PBE-GGA) on a relaxed structure of LiAcGaPt.

Calculated values
**Crystal system**: monoclinic
**Calculated volume**: 91 Å³ per cell

Lattice parameters (Å, degrees): 4.5009 4.5009 5.7805 112.83 112.83 59.97
Fractional positions:
Li (0.0000, 0.0000, 0.0000)
Ac (0.1932, 0.1932, 0.5810)
Ga (0.7114, 0.7114, 0.1340)
Pt (0.3927, 0.3927, 0.1775)

ii | VASP calculation (PBE-GGA) on a relaxed structure of LiAcGaPt.

Calculated values
**Crystal system**: cubic
**Calculated volume**: 86 Å³ per cell

Lattice parameters (Å, degrees): 4.9559 4.9559 4.9559 60.00 60.00 60.00
Fractional positions:
Li (0.0000, 0.0000, 0.0000)
Ac (0.2500, 0.2500, 0.2500)
Ga (0.7500, 0.7500, 0.7500)
Pt (0.5000, 0.5000, 0.5000)

What should be chosen as the most stable of them? Choose i.

i | VASP calculation (PBE-GGA) on a relaxed structure of LiAcGaRh.

Calculated values
**Crystal system**: cubic
**Calculated volume**: 83 Å³ per cell

Lattice parameters (Å, degrees): 4.8955 4.8955 4.8955 60.00 60.00 60.00
Fractional positions:
Li (0.0000, 0.0000, 0.0000)
Ac (0.7500, 0.7500, 0.7500)
Ga (0.2500, 0.2500, 0.2500)
Rh (0.5000, 0.5000, 0.5000)

ii | VASP calculation (PBE-GGA) on a relaxed structure of LiAcGaRh.

Calculated values
**Crystal system**: trigonal
**Calculated volume**: 88 Å³ per cell

Lattice parameters (Å, degrees): 5.7500 5.7500 5.7500 45.35 45.35 45.35
Fractional positions:
Li (0.0000, 0.0000, 0.0000)
Ac (0.8059, 0.8059, 0.8059)
Ga (0.2878, 0.2878, 0.2878)
Rh (0.6006, 0.6006, 0.6006)

What should be chosen as the most stable of them? Choose ii.

i | VASP calculation (PBE-GGA) on a relaxed structure of SrLiAcGa.

Calculated values
**Crystal system**: cubic
**Calculated volume**: 125 Å³ per cell

Lattice parameters (Å, degrees): 5.6164 5.6164 5.6164 60.00 60.00 60.00
Fractional positions:
Sr (0.0000, 0.0000, 0.0000)
Li (0.2500, 0.2500, 0.2500)
Ac (0.5000, 0.5000, 0.5000)
Ga (0.7500, 0.7500, 0.7500)

ii | VASP calculation (PBE-GGA) on a relaxed structure of SrLiAcGa.

Calculated values
**Crystal system**: trigonal
**Calculated volume**: 140 Å³ per cell

Lattice parameters (Å, degrees): 7.6527 7.6527 7.6527 36.15 36.15 36.15
Fractional positions:
Sr (0.0000, 0.0000, 0.0000)
Li (0.5794, 0.5794, 0.5794)
Ac (0.8220, 0.8220, 0.8220)
Ga (0.2342, 0.2342, 0.2342)

What should be chosen as the most stable of them? Choose i.

i | VASP calculation (PBE-GGA) on a relaxed structure of AcLuGa.

Calculated values
**Crystal system**: cubic
**Calculated volume**: 98 Å³ per cell

Lattice parameters (Å, degrees): 5.1769 5.1769 5.1769 60.00 60.00 60.00
Fractional positions:
Ac (0.0000, 0.0000, 0.0000)
Lu (0.5000, 0.5000, 0.5000)
Ga (0.2500, 0.2500, 0.2500)

ii | VASP calculation (PBE-GGA) on a relaxed structure of AcLuGa.

Calculated values
**Crystal system**: trigonal
**Calculated volume**: 93 Å³ per cell

Lattice parameters (Å, degrees): 4.9009 4.9009 4.4905 90.00 90.00 120.00
Fractional positions:
Ac (0.0000, 0.0000, 0.0000)
Lu (0.6667, 0.3333, 0.4997)
Ga (0.3333, 0.6667, 0.5017)

What should be chosen as the most stable of them? Choose ii.

i | VASP calculation (PBE-GGA) on a relaxed structure of AcLu2Ga.

Calculated values
**Crystal system**: tetragonal
**Calculated volume**: 116 Å³ per cell

Lattice parameters (Å, degrees): 3.5753 3.5753 9.0816 90.00 90.00 90.00
Fractional positions:
Ac (0.0000, 0.0000, 0.0000)
Lu (0.5000, 0.5000, 0.3078)
Lu (0.5000, 0.5000, 0.6922)
Ga (0.0000, 0.0000, 0.5000)

ii | VASP calculation (PBE-GGA) on a relaxed structure of AcLu2Ga.

Calculated values
**Crystal system**: tetragonal
**Calculated volume**: 116 Å³ per cell

Lattice parameters (Å, degrees): 4.8485 4.8485 4.9147 90.00 90.00 90.00
Fractional positions:
Ac (0.0000, 0.0000, 0.0000)
Lu (0.0000, 0.5000, 0.5000)
Lu (0.5000, 0.0000, 0.5000)
Ga (0.5000, 0.5000, 0.0000)

What should be chosen as the most stable of them? Choose i.